Record 1
VASP calculation (GGA+U) on crystalline Co2P2O7 at its relaxed geometry.

```
22
Lattice="3.533 -4.186 0.000 3.533 4.186 0.000 -2.925 0.000 8.809" Properties=species:S:1:pos:R:3 pbc="T T T"
Co 1.743 2.671 4.608
Co 0.935 2.671 8.606
Co 3.206 -2.671 0.203
Co 2.397 -2.671 4.201
P 1.323 0.101 2.584
P -0.139 -0.101 6.988
P 4.280 0.101 1.821
P 2.817 -0.101 6.225
O 0.742 1.279 3.393
O -0.912 0.045 5.651
O 0.551 -0.045 1.246
O -0.080 1.195 7.759
O -0.721 -1.279 7.797
O 2.802 0.632 2.202
O 1.383 -1.195 3.354
O 2.757 1.195 5.455
O 1.339 -0.632 6.607
O 4.861 1.279 1.012
O 4.220 -1.195 1.050
O 3.589 0.045 7.563
O 5.052 -0.045 3.158
O 3.399 -1.279 5.416
```

Calculated values
* crystal system: monoclinic
* VASP energy: -152.06 eV/cell
* D(E_F): 0.00 states/eV/atom
* symmetry: C2/c

Record 2
VASP calculation (GGA+U) on crystalline TaNi2RhF at its relaxed geometry.

```
5
Lattice="4.544 0.000 0.000 0.000 4.544 0.000 0.000 0.000 3.855" Properties=species:S:1:pos:R:3 pbc="T T T"
Ta 0.000 0.000 0.000
Ni 0.000 2.272 0.000
Ni 2.272 0.000 0.000
Rh 2.272 2.272 1.927
F 0.000 0.000 1.927
```

Calculated values
* crystal system: tetragonal
* VASP energy: -21.83 eV/cell
* D(E_F): 0.60 states/eV/atom
* symmetry: P4/mmm